Record 1
First-principles (PBE) data for a relaxed structure of SrSiPb2, as listed in Alexandria.

abc: 11.2246 4.2334 5.6938
angles: 90.00 116.57 90.00
Closest atoms and distances in Å follow each position.
Atoms (fractional coordinates):
Sr (0.0000, 0.0000, 0.0000)  3 Si 3.22-3.56, 5 Pb 3.49-3.61
Sr (0.5000, 0.5000, 0.0000)  3 Si 3.22-3.56, 5 Pb 3.49-3.61
Si (0.2222, 0.5000, 0.3660)  4 Pb 2.90-2.98, 2 Sr 3.22
Si (0.7222, 0.0000, 0.3660)  4 Pb 2.90-2.98, 2 Sr 3.22
Pb (0.2157, 0.0000, 0.7085)  2 Si 2.90
Pb (0.4199, 0.0000, 0.4232)  2 Si 2.98
Pb (0.7157, 0.5000, 0.7085)  2 Si 2.90
Pb (0.9199, 0.5000, 0.4232)  2 Si 2.98

Computed properties:
N(E_F) in states/eV/f.u.: 1.9
Raw total energy in eV/cell: -30.0
Formation energy from raw total energies in eV per atom: -0.12

Record 2
First-principles (PBE) data for a relaxed structure of Sr2SiPb, as listed in Alexandria.

abc: 5.4215 5.6685 9.0255
angles: 90.00 90.00 90.00
Closest atoms and distances in Å follow each position.
Atoms (fractional coordinates):
Sr (0.0000, 0.0000, 0.0000)  1 Pb 3.30, 4 Si 3.45-3.55
Sr (0.0000, 0.5000, 0.3834)  1 Si 3.43, 4 Pb 3.53-3.63
Sr (0.5000, 0.0000, 0.3834)  1 Si 3.43, 4 Pb 3.53-3.63
Sr (0.5000, 0.5000, 0.0000)  1 Pb 3.30, 4 Si 3.45-3.55
Si (0.0000, 0.5000, 0.7640)  4 Pb 2.95-3.07
Si (0.5000, 0.0000, 0.7640)  4 Pb 2.95-3.07
Pb (0.0000, 0.0000, 0.6341)  4 Si 2.95-3.07, 1 Sr 3.30
Pb (0.5000, 0.5000, 0.6341)  4 Si 2.95-3.07, 1 Sr 3.30

Computed properties:
N(E_F) in states/eV/f.u.: 2.5
Offset from the most stable computed form in eV per atom: 0.366
Raw total energy in eV/cell: -25.5
Formation energy from raw total energies in eV per atom: -0.07